{
  "formula": "CsSmMn2O8",
  "functional": "PBE+U",
  "state": "optimized geometry",
  "space_group": "No. 147",
  "magmom_total_mub_per_fu": 2.00,
  "final_energy_ev_per_cell": -77.624,
  "lattice": [[-5.5795, -1.3070, -1.2085], [3.3612, -3.8598, 2.8467], [-2.4051, 3.3906, 7.4370]],
  "species": ["Mn", "Mn", "O", "O", "O", "O", "O", "O", "O", "O", "Cs", "Sm"],
  "fractional_positions": [[0.6667, 0.3333, 0.2649], [0.3333, 0.6667, 0.7351], [0.1844, 0.8288, 0.6687], [0.6443, 0.8156, 0.6687], [0.6667, 0.3333, 0.0739], [0.8288, 0.6443, 0.3313], [0.3333, 0.6667, 0.9261], [0.1712, 0.3557, 0.6687], [0.8156, 0.1712, 0.3313], [0.3557, 0.1844, 0.3313], [0.0000, 0.0000, 0.0000], [0.0000, 0.0000, 0.5000]]
}